No. 1
# Tb3Nd6Y2Tl

An optimized crystal structure of Tb3Nd6Y2Tl (PBE, Alexandria via LeMat-Bulk).

Structure (CIF):
```
data_Tb3Nd6Y2Tl
_cell_length_a 6.220
_cell_length_b 10.813
_cell_length_c 11.882
_cell_angle_alpha 90.00
_cell_angle_beta 100.25
_cell_angle_gamma 90.00
_symmetry_space_group_name_H-M 'C 1 2/m 1'
_symmetry_Int_Tables_number 12
_symmetry_space_group_name_Hall '-C 2y'
loop_
_atom_site_label
_atom_site_type_symbol
_atom_site_fract_x
_atom_site_fract_y
_atom_site_fract_z
_atom_site_occupancy
Tb1 Tb 0.000 0.000 0.000 1
Tb2 Tb 0.000 0.332 0.000 1
Nd1 Nd 0.245 0.500 0.250 1
Nd2 Nd 0.246 0.336 0.748 1
Y1 Y 0.000 0.166 0.500 1
Tl1 Tl 0.000 0.500 0.500 1
```

***

No. 2
# TbNdY2Tl2

An optimized crystal structure of TbNdY2Tl2 (PBE, Alexandria via LeMat-Bulk).

Structure (CIF):
```
data_TbNdY2Tl2
_cell_length_a 5.149
_cell_length_b 10.097
_cell_length_c 6.869
_cell_angle_alpha 90.00
_cell_angle_beta 90.00
_cell_angle_gamma 90.00
_symmetry_space_group_name_H-M 'P m c 21'
_symmetry_Int_Tables_number 26
_symmetry_space_group_name_Hall 'P 2c -2'
loop_
_atom_site_label
_atom_site_type_symbol
_atom_site_fract_x
_atom_site_fract_y
_atom_site_fract_z
_atom_site_occupancy
Tb1 Tb 0.000 0.190 0.000 1
Nd1 Nd 0.500 0.044 0.277 1
Y1 Y 0.000 0.456 0.370 1
Y2 Y 0.500 0.317 0.655 1
Tl1 Tl 0.000 0.138 0.539 1
Tl2 Tl 0.500 0.369 0.115 1
```

***

No. 3
# Tb6Nd3Y2Tl

An optimized crystal structure of Tb6Nd3Y2Tl (PBE, Alexandria via LeMat-Bulk).

Structure (CIF):
```
data_Tb6Nd3Y2Tl
_cell_length_a 6.178
_cell_length_b 10.711
_cell_length_c 11.763
_cell_angle_alpha 90.00
_cell_angle_beta 100.19
_cell_angle_gamma 90.00
_symmetry_space_group_name_H-M 'C 1 2/m 1'
_symmetry_Int_Tables_number 12
_symmetry_space_group_name_Hall '-C 2y'
loop_
_atom_site_label
_atom_site_type_symbol
_atom_site_fract_x
_atom_site_fract_y
_atom_site_fract_z
_atom_site_occupancy
Tb1 Tb 0.244 0.164 0.244 1
Tb2 Tb 0.247 0.000 0.754 1
Nd1 Nd 0.000 0.168 0.500 1
Nd2 Nd 0.000 0.500 0.500 1
Y1 Y 0.000 0.334 0.000 1
Tl1 Tl 0.000 0.000 0.000 1
```

***

No. 4
# Tb2NdTl2Zn2

An optimized crystal structure of Tb2NdTl2Zn2 (PBE, Alexandria via LeMat-Bulk).

Structure (CIF):
```
data_Tb2NdTl2Zn2
_cell_length_a 4.7888
_cell_length_b 4.7888
_cell_length_c 27.4517
_cell_angle_alpha 90.00
_cell_angle_beta 90.00
_cell_angle_gamma 120.00
_symmetry_space_group_name_H-M 'R -3 m'
_symmetry_Int_Tables_number 166
_symmetry_space_group_name_Hall '-R 3 2"'
loop_
_atom_site_label
_atom_site_type_symbol
_atom_site_fract_x
_atom_site_fract_y
_atom_site_fract_z
_atom_site_occupancy
Tb1 Tb 0.0000 0.0000 0.1302 1
Nd1 Nd 0.0000 0.0000 0.0000 1
Tl1 Tl 0.0000 0.0000 0.2646 1
Zn1 Zn 0.0000 0.0000 0.4199 1
```

***

Calculated total magnetization (μB/f.u.), listed in the same order as above: 0.0; 0.0; 0.7; 0.0
Calculated DFT total energy (eV for the cell shown), listed in the same order as above: -115.89; -57.60; -115.08; -67.72